{
  "formula": "CrCoBiTe2",
  "functional": "PBE",
  "state": "relaxed",
  "final_energy_ev_per_atom": -4.345,
  "spacegroup": "No. 123",
  "formation_energy_uncorrected_ev_per_atom": 1.03,
  "n_ef_per_ev_atom": 1.548,
  "cell": [[5.1141, 0.0000, 0.0000], [0.0000, 5.1141, 0.0000], [0.0000, 0.0000, 5.1938]],
  "species": ["Cr", "Co", "Bi", "Te", "Te"],
  "frac_coords": [[0.0000, 0.0000, 0.0000], [0.5000, 0.5000, 0.5000], [0.0000, 0.0000, 0.5000], [0.0000, 0.5000, 0.0000], [0.5000, 0.0000, 0.0000]]
}


{
  "formula": "LiReSbTe2",
  "functional": "PBE",
  "state": "relaxed",
  "final_energy_ev_per_atom": -3.773,
  "de_polymorph_ev_per_atom": 0.6794,
  "spacegroup": "No. 123",
  "formation_energy_uncorrected_ev_per_atom": 1.18,
  "n_ef_per_ev_atom": 0.931,
  "cell": [[5.0182, 0.0000, 0.0000], [0.0000, 5.0182, 0.0000], [0.0000, 0.0000, 4.7520]],
  "species": ["Li", "Re", "Sb", "Te", "Te"],
  "frac_coords": [[0.0000, 0.0000, 0.0000], [0.5000, 0.5000, 0.5000], [0.0000, 0.0000, 0.5000], [0.0000, 0.5000, 0.0000], [0.5000, 0.0000, 0.0000]]
}


{
  "formula": "Cu3SbF",
  "functional": "PBE",
  "state": "relaxed",
  "final_energy_ev_per_atom": -3.676,
  "de_polymorph_ev_per_atom": 0.0000,
  "spacegroup": "No. 221",
  "formation_energy_uncorrected_ev_per_atom": -0.02,
  "n_ef_per_ev_atom": 0.352,
  "cell": [[4.2459, 0.0000, 0.0000], [0.0000, 4.2459, 0.0000], [0.0000, 0.0000, 4.2459]],
  "species": ["Cu", "Cu", "Cu", "Sb", "F"],
  "frac_coords": [[0.0000, 0.0000, 0.5000], [0.0000, 0.5000, 0.0000], [0.5000, 0.0000, 0.0000], [0.5000, 0.5000, 0.5000], [0.0000, 0.0000, 0.0000]]
}


{
  "formula": "CaTbHg",
  "functional": "PBE",
  "state": "relaxed",
  "final_energy_ev_per_atom": -2.610,
  "de_polymorph_ev_per_atom": 0.0000,
  "spacegroup": "No. 107",
  "e_form_kj_per_mol_atoms": -29,
  "n_ef_per_ev_atom": 1.067,
  "cell": [[-1.8681, 1.8681, 6.5641], [1.8681, -1.8681, 6.5641], [1.8681, 1.8681, -6.5641]],
  "species": ["Ca", "Tb", "Hg"],
  "frac_coords": [[0.0000, 0.0000, 0.0000], [0.2832, 0.2832, 0.0000], [0.6533, 0.6533, 0.0000]]
}


{
  "formula": "Sc2TcIr",
  "functional": "PBE",
  "state": "relaxed",
  "final_energy_ev_per_atom": -7.944,
  "spacegroup": "No. 122",
  "e_form_kj_per_mol_atoms": 3,
  "n_ef_per_ev_atom": 1.289,
  "cell": [[-3.5978, 3.5978, 2.8105], [3.5978, -3.5978, 2.8105], [3.5978, 3.5978, -2.8105]],
  "species": ["Sc", "Sc", "Sc", "Sc", "Tc", "Tc", "Ir", "Ir"],
  "frac_coords": [[0.1157, 0.1250, 0.4907], [0.3750, 0.8843, 0.0093], [0.6343, 0.6250, 0.5093], [0.8750, 0.3657, 0.9907], [0.2500, 0.7500, 0.5000], [0.5000, 0.5000, 0.0000], [0.0000, 0.0000, 0.0000], [0.7500, 0.2500, 0.5000]]
}


{
  "formula": "Re2Ni2Rh",
  "functional": "PBE",
  "state": "relaxed",
  "final_energy_ev_per_atom": -8.243,
  "de_polymorph_ev_per_atom": 0.3015,
  "spacegroup": "No. 65",
  "e_form_kj_per_mol_atoms": 50,
  "n_ef_per_ev_atom": 0.835,
  "cell": [[2.2044, -3.2684, 0.0000], [2.2044, 3.2684, 0.0000], [0.0000, 0.0000, 5.0905]],
  "species": ["Re", "Re", "Ni", "Ni", "Rh"],
  "frac_coords": [[0.0000, 0.0000, 0.2432], [0.0000, 0.0000, 0.7568], [0.3274, 0.6726, 0.0000], [0.6726, 0.3274, 0.0000], [0.5000, 0.5000, 0.5000]]
}


{
  "formula": "Ti2InMo2",
  "functional": "PBE",
  "state": "relaxed",
  "final_energy_ev_per_atom": -7.918,
  "spacegroup": "No. 127",
  "e_form_kj_per_mol_atoms": 12,
  "n_ef_per_ev_atom": 0.751,
  "cell": [[7.5157, 0.0000, 0.0000], [0.0000, 7.5157, 0.0000], [0.0000, 0.0000, 3.1906]],
  "species": ["Ti", "Ti", "Ti", "Ti", "In", "In", "Mo", "Mo", "Mo", "Mo"],
  "frac_coords": [[0.1917, 0.3083, 0.0000], [0.3083, 0.8083, 0.0000], [0.6917, 0.1917, 0.0000], [0.8083, 0.6917, 0.0000], [0.0000, 0.0000, 0.5000], [0.5000, 0.5000, 0.5000], [0.1076, 0.6076, 0.5000], [0.3924, 0.1076, 0.5000], [0.6076, 0.8924, 0.5000], [0.8924, 0.3924, 0.5000]]
}


{
  "formula": "BrCl3",
  "functional": "PBE",
  "state": "relaxed",
  "final_energy_ev_per_atom": -1.010,
  "spacegroup": "No. 123",
  "formation_energy_uncorrected_ev_per_atom": 0.79,
  "n_ef_per_ev_atom": 1.482,
  "cell": [[5.0410, 0.0000, 0.0000], [0.0000, 5.0410, 0.0000], [0.0000, 0.0000, 3.6316]],
  "species": ["Br", "Cl", "Cl", "Cl"],
  "frac_coords": [[0.0000, 0.0000, 0.0000], [0.0000, 0.5000, 0.5000], [0.5000, 0.0000, 0.5000], [0.5000, 0.5000, 0.0000]]
}


{
  "formula": "Tl2CdAsF6",
  "functional": "PBE",
  "state": "relaxed",
  "final_energy_ev_per_atom": -3.939,
  "spacegroup": "No. 71",
  "formation_energy_uncorrected_ev_per_atom": -1.79,
  "n_ef_per_ev_atom": 0.384,
  "cell": [[-3.1923, 3.2034, 4.5232], [3.1923, -3.2034, 4.5232], [3.1923, 3.2034, -4.5232]],
  "species": ["Tl", "Tl", "Cd", "As", "F", "F", "F", "F", "F", "F"],
  "frac_coords": [[0.2492, 0.2492, 0.0000], [0.7508, 0.7508, 0.0000], [0.0000, 0.5000, 0.5000], [0.5000, 0.0000, 0.5000], [0.2694, 0.2311, 0.5005], [0.2694, 0.7689, 0.0383], [0.2691, 0.7691, 0.5000], [0.7309, 0.2309, 0.5000], [0.7306, 0.2311, 0.9617], [0.7306, 0.7689, 0.4995]]
}


{
  "formula": "NaCa2YNi",
  "functional": "PBE",
  "state": "relaxed",
  "final_energy_ev_per_atom": -3.535,
  "de_polymorph_ev_per_atom": 0.0000,
  "spacegroup": "No. 123",
  "e_form_kj_per_mol_atoms": -2,
  "n_ef_per_ev_atom": 0.660,
  "cell": [[5.6334, 0.0000, 0.0000], [0.0000, 5.6334, 0.0000], [0.0000, 0.0000, 5.2207]],
  "species": ["Na", "Ca", "Ca", "Y", "Ni"],
  "frac_coords": [[0.0000, 0.0000, 0.0000], [0.0000, 0.5000, 0.5000], [0.5000, 0.0000, 0.5000], [0.5000, 0.5000, 0.0000], [0.5000, 0.5000, 0.5000]]
}


{
  "formula": "Nb2PSe",
  "functional": "PBE",
  "state": "relaxed",
  "final_energy_ev_per_atom": -7.254,
  "de_polymorph_ev_per_atom": 0.4989,
  "spacegroup": "No. 122",
  "formation_energy_uncorrected_ev_per_atom": 0.00,
  "n_ef_per_ev_atom": 1.341,
  "cell": [[-2.8005, 2.8005, 5.9266], [2.8005, -2.8005, 5.9266], [2.8005, 2.8005, -5.9266]],
  "species": ["Nb", "Nb", "Nb", "Nb", "P", "P", "Se", "Se"],
  "frac_coords": [[0.1024, 0.6250, 0.9774], [0.3750, 0.3524, 0.4774], [0.6476, 0.1250, 0.0226], [0.8750, 0.8976, 0.5226], [0.0000, 0.0000, 0.0000], [0.7500, 0.2500, 0.5000], [0.2500, 0.7500, 0.5000], [0.5000, 0.5000, 0.0000]]
}


Number 1: M_tot 0.501 μB per atom. Number 2: M_tot 0.595 μB per atom. Number 3: M_tot 0.000 μB per atom. Number 4: M_tot 0.033 μB per atom. Number 5: M_tot 0.000 μB per atom. Number 6: M_tot 0.000 μB per atom. Number 7: M_tot 0.000 μB per atom. Number 8: M_tot 0.531 μB per atom. Number 9: M_tot 0.000 μB per atom. Number 10: M_tot 0.000 μB per atom. Number 11: M_tot 0.299 μB per atom.